Entry 1:
The following is a PBE calculation of an optimized crystal structure of OsAu2S, from the Alexandria database.

* ΔE_f (raw): 0.885 eV/atom
* calculated volume: 278.2 Å³/cell

abc: 7.373 7.373 5.118
angles: 90.00 90.00 90.00
Space group I-42d (No. 122)
Unique sites:
Os 0.000 0.000 0.000 (multiplicity 4)
Au 0.232 0.250 0.625 (multiplicity 8)
S 0.000 0.000 0.500 (multiplicity 4)


Entry 2:
The following is a PBE calculation of an optimized crystal structure of OsAuS2, from the Alexandria database.

* ΔE_f (raw): 0.782 eV/atom
* calculated volume: 244.0 Å³/cell

abc: 6.249 6.249 6.249
angles: 90.00 90.00 90.00
Space group Fm-3m (No. 225)
Unique sites:
Os 0.000 0.000 0.000 (multiplicity 4)
Au 0.000 0.000 0.500 (multiplicity 4)
S 0.250 0.250 0.250 (multiplicity 8)


Entry 3:
The following is a PBE calculation of an optimized crystal structure of Os2Au2S, from the Alexandria database.

* offset from the most stable computed form: 0 meV/atom
* ΔE_f (raw): 0.537 eV/atom
* calculated volume: 167.6 Å³/cell

abc: 5.918 5.918 4.785
angles: 90.00 90.00 90.00
Space group P4/mbm (No. 127)
Unique sites:
Os 0.151 0.349 0.000 (multiplicity 4)
Au 0.168 0.668 0.500 (multiplicity 4)
S 0.000 0.000 0.000 (multiplicity 2)


Entry 4:
The following is a PBE calculation of an optimized crystal structure of OsAu3S, from the Alexandria database.

* offset from the most stable computed form: 0 meV/atom
* ΔE_f (raw): 1.396 eV/atom
* calculated volume: 99.6 Å³/cell

abc: 4.636 4.636 4.636
angles: 90.00 90.00 90.00
Space group Pm-3m (No. 221)
Unique sites:
Os 0.000 0.000 0.000 (multiplicity 1)
Au 0.000 0.500 0.500 (multiplicity 3)
S 0.500 0.500 0.500 (multiplicity 1)


Entry 5:
The following is a PBE calculation of an optimized crystal structure of ScOsAu2S, from the Alexandria database.

* ΔE_f (raw): 0.812 eV/atom
* calculated volume: 123.0 Å³/cell

abc: 5.000 5.000 4.920
angles: 90.00 90.00 90.00
Space group P4/mmm (No. 123)
Unique sites:
Sc 0.000 0.000 0.000 (multiplicity 1)
Os 0.000 0.000 0.500 (multiplicity 1)
Au 0.000 0.500 0.500 (multiplicity 2)
S 0.500 0.500 0.000 (multiplicity 1)


Entry 6:
The following is a PBE calculation of an optimized crystal structure of Th6Os2AuS3, from the Alexandria database.

* ΔE_f (raw): -1.092 eV/atom
* calculated volume: 627.5 Å³/cell

abc: 7.146 12.378 7.485
angles: 90.00 108.61 90.00
Space group C2/m (No. 12)
Unique sites:
Th 0.225 0.000 0.235 (multiplicity 4)
Th 0.245 0.177 0.766 (multiplicity 8)
Os 0.000 0.167 0.000 (multiplicity 4)
Au 0.000 0.500 0.000 (multiplicity 2)
S 0.000 0.000 0.500 (multiplicity 2)
S 0.000 0.338 0.500 (multiplicity 4)


Entry 7:
The following is a PBE calculation of an optimized crystal structure of Th4Os2AuS, from the Alexandria database.

* ΔE_f (raw): -0.772 eV/atom
* calculated volume: 210.8 Å³/cell

abc: 7.265 4.143 7.418
angles: 90.00 109.22 90.00
Space group P2/m (No. 10)
Unique sites:
Th 0.237 0.000 0.219 (multiplicity 2)
Th 0.256 0.500 0.777 (multiplicity 2)
Os 0.000 0.500 0.000 (multiplicity 1)
Os 0.500 0.000 0.000 (multiplicity 1)
Au 0.500 0.500 0.500 (multiplicity 1)
S 0.000 0.000 0.500 (multiplicity 1)


Entry 8:
The following is a PBE calculation of an optimized crystal structure of V2OsAuS, from the Alexandria database.

* ΔE_f (raw): 0.776 eV/atom
* calculated volume: 82.0 Å³/cell

abc: 4.252 4.252 4.532
angles: 90.00 90.00 90.00
Space group P4/mmm (No. 123)
Unique sites:
V 0.000 0.500 0.000 (multiplicity 2)
Os 0.000 0.000 0.500 (multiplicity 1)
Au 0.500 0.500 0.500 (multiplicity 1)
S 0.500 0.500 0.000 (multiplicity 1)


Entry 9:
The following is a PBE calculation of an optimized crystal structure of OsWAuS2, from the Alexandria database.

* ΔE_f (raw): 2.439 eV/atom
* calculated volume: 104.8 Å³/cell

abc: 4.527 4.527 5.111
angles: 90.00 90.00 90.00
Space group P4/mmm (No. 123)
Unique sites:
Os 0.000 0.000 0.000 (multiplicity 1)
W 0.500 0.500 0.000 (multiplicity 1)
Au 0.500 0.500 0.500 (multiplicity 1)
S 0.000 0.500 0.500 (multiplicity 2)


Entry 10:
The following is a PBE calculation of an optimized crystal structure of YOsAu2S, from the Alexandria database.

* ΔE_f (raw): 0.103 eV/atom
* calculated volume: 116.5 Å³/cell

abc: 5.226 5.226 4.267
angles: 90.00 90.00 90.00
Space group P4/mmm (No. 123)
Unique sites:
Y 0.000 0.000 0.000 (multiplicity 1)
Os 0.500 0.500 0.500 (multiplicity 1)
Au 0.000 0.500 0.500 (multiplicity 2)
S 0.500 0.500 0.000 (multiplicity 1)


Entry 11:
The following is a PBE calculation of an optimized crystal structure of SbOsAu2, from the Alexandria database.

* ΔE_f (raw): 0.665 eV/atom
* calculated volume: 153.5 Å³/cell

abc: 2.933 5.170 10.127
angles: 90.00 90.00 90.00
Space group Cmmm (No. 65)
Unique sites:
Sb 0.000 0.000 0.000 (multiplicity 2)
Os 0.000 0.000 0.500 (multiplicity 2)
Au 0.000 0.500 0.268 (multiplicity 4)


Entry 12:
The following is a PBE calculation of an optimized crystal structure of SbOsAu, from the Alexandria database.

* offset from the most stable computed form: 197 meV/atom
* ΔE_f (raw): 0.597 eV/atom
* calculated volume: 57.1 Å³/cell

abc: 4.4378 4.4378 3.3501
angles: 90.00 90.00 120.00
Space group P3m1 (No. 156)
Unique sites:
Sb 0.0000 0.0000 0.0000 (multiplicity 1)
Os 0.3333 0.6667 0.0102 (multiplicity 1)
Au 0.6667 0.3333 0.5062 (multiplicity 1)